Entry 1:
{"formula": "HoEr4Al", "functional": "PBE", "state": "relaxed", "lattice_angstrom": [[4.315, -6.839, 0.000], [4.315, 6.839, 0.000], [-1.944, 0.000, 5.850]], "species": ["Ho", "Ho", "Er", "Er", "Er", "Er", "Er", "Er", "Er", "Er", "Al", "Al"], "fractional_positions": [[0.091, 0.909, 0.750], [0.909, 0.091, 0.250], [0.102, 0.339, 0.878], [0.216, 0.586, 0.457], [0.339, 0.102, 0.378], [0.414, 0.784, 0.043], [0.586, 0.216, 0.957], [0.661, 0.898, 0.622], [0.784, 0.414, 0.543], [0.898, 0.661, 0.122], [0.499, 0.501, 0.250], [0.501, 0.499, 0.750]], "m_tot_mub_per_cell": 0.0, "formation_enthalpy_0k_ev_per_atom": -0.04, "relative_energy_ev_per_atom": 0.087, "mass_density_g_cm3": 8.28, "vol_a3_per_cell": 345}

Entry 2:
{"formula": "Cu4AgPd15", "functional": "PBE", "state": "relaxed", "lattice_angstrom": [[3.906, 0.000, 0.000], [0.000, 3.906, 0.000], [0.000, 0.000, 19.554]], "species": ["Cu", "Cu", "Cu", "Cu", "Ag", "Pd", "Pd", "Pd", "Pd", "Pd", "Pd", "Pd", "Pd", "Pd", "Pd", "Pd", "Pd", "Pd", "Pd", "Pd"], "fractional_positions": [[0.000, 0.000, 0.099], [0.000, 0.000, 0.296], [0.000, 0.000, 0.704], [0.000, 0.000, 0.901], [0.000, 0.000, 0.500], [0.000, 0.500, 0.000], [0.000, 0.500, 0.197], [0.000, 0.500, 0.394], [0.000, 0.500, 0.606], [0.000, 0.500, 0.803], [0.500, 0.000, 0.000], [0.500, 0.000, 0.197], [0.500, 0.000, 0.394], [0.500, 0.000, 0.606], [0.500, 0.000, 0.803], [0.500, 0.500, 0.099], [0.500, 0.500, 0.296], [0.500, 0.500, 0.500], [0.500, 0.500, 0.704], [0.500, 0.500, 0.901]], "m_tot_mub_per_cell": 0.0, "formation_enthalpy_0k_ev_per_atom": -0.05, "mass_density_g_cm3": 10.90, "vol_a3_per_cell": 298}

Entry 3:
{"formula": "K5Sn2Hg12", "functional": "PBE", "state": "relaxed", "lattice_angstrom": [[10.022, -3.910, 0.000], [10.022, 3.910, 0.000], [-1.973, 0.000, 7.976]], "species": ["K", "K", "K", "K", "K", "Sn", "Sn", "Hg", "Hg", "Hg", "Hg", "Hg", "Hg", "Hg", "Hg", "Hg", "Hg", "Hg", "Hg"], "fractional_positions": [[0.000, 0.000, 0.000], [0.234, 0.234, 0.900], [0.313, 0.313, 0.448], [0.687, 0.687, 0.552], [0.766, 0.766, 0.100], [0.306, 0.694, 0.500], [0.694, 0.306, 0.500], [0.047, 0.635, 0.777], [0.100, 0.100, 0.487], [0.197, 0.593, 0.156], [0.365, 0.953, 0.223], [0.407, 0.803, 0.844], [0.452, 0.452, 0.818], [0.548, 0.548, 0.182], [0.593, 0.197, 0.156], [0.635, 0.047, 0.777], [0.803, 0.407, 0.844], [0.900, 0.900, 0.513], [0.953, 0.365, 0.223]], "m_tot_mub_per_cell": 0.0, "formation_enthalpy_0k_ev_per_atom": -0.18, "mass_density_g_cm3": 7.54, "vol_a3_per_cell": 625}

Entry 4:
{"formula": "BaTlSBr", "functional": "PBE", "state": "relaxed", "lattice_angstrom": [[2.298, 1.327, 8.183], [-2.298, 1.327, 8.183], [0.000, -2.653, 8.183]], "species": ["Ba", "Tl", "S", "Br"], "fractional_positions": [[0.000, 0.000, 0.000], [0.196, 0.196, 0.196], [0.599, 0.599, 0.599], [0.414, 0.414, 0.414]], "m_tot_mub_per_cell": 0.0, "relative_energy_ev_per_atom": 0.000, "mass_density_g_cm3": 5.03, "raw_formation_energy_ev_per_atom": -1.46, "vol_a3_per_cell": 150}

What VASP energy values result from the calculations? In sequence: -53.6 -98.2 -20.4 -15.9 eV per cell.